DFT (PBE-GGA) results for RbIr2O after structural relaxation.

Cell lengths 7.537, 7.537, 7.537 Å; angles 140.62, 140.62, 56.91 degrees
Sites, in units of the cell vectors:
Rb (0.375, 0.625, 0.750)
Rb (0.625, 0.375, 0.250)
Ir (0.000, 0.000, 0.000)
Ir (0.000, 0.000, 0.500)
Ir (0.000, 0.500, 0.000)
Ir (0.500, 0.000, 0.500)
O (0.125, 0.875, 0.250)
O (0.875, 0.125, 0.750)

ΔE_f (raw): 0.418 eV/atom
M_tot: 0.00 μB/f.u.
space group: I4_1/amd

DFT (PBE-GGA) results for NaTl2Cu2Br6 after structural relaxation.

Cell lengths 7.667, 7.667, 8.396 Å; angles 113.77, 113.77, 58.94 degrees
Sites, in units of the cell vectors:
Na (0.000, 0.000, 0.000)
Tl (0.216, 0.216, 0.688)
Tl (0.784, 0.784, 0.312)
Cu (0.450, 0.450, 0.240)
Cu (0.550, 0.550, 0.760)
Br (0.182, 0.678, 0.694)
Br (0.256, 0.256, 0.112)
Br (0.322, 0.818, 0.306)
Br (0.678, 0.182, 0.694)
Br (0.744, 0.744, 0.888)
Br (0.818, 0.322, 0.306)

ΔE_f (raw): -0.697 eV/atom
M_tot: 1.07 μB/f.u.
space group: C2/m